i:
Material: La2Pr8Y
Method: DFT, PBE
State: relaxed

a = 5.254 Å, b = 8.283 Å, c = 9.802 Å
α = 104.64°, β = 105.55°, γ = 90.00°
Fractional coordinates of all 11 atoms:
Pr1 0.319 0.092 0.638
Pr2 0.590 0.452 0.180
Pr3 0.045 0.728 0.090
Pr4 0.136 0.179 0.271
Pr5 0.681 0.908 0.362
Pr6 0.410 0.548 0.820
Pr7 0.864 0.821 0.729
Pr8 0.955 0.272 0.910
La1 0.227 0.636 0.454
La2 0.773 0.364 0.546
Y1 0.500 0.000 0.000

For the density of states at the Fermi level, the calculation gives 1.7216 states/eV/atom. The space group is C2/m, No. 12. As for the crystal system: monoclinic. For the total magnetization, the calculation gives 0.000 μB/atom.

=====

ii:
Material: La2Pr8Y
Method: DFT, PBE
State: relaxed

a = 6.905 Å, b = 10.476 Å, c = 10.476 Å
α = 38.81°, β = 59.85°, γ = 59.85°
Fractional coordinates of all 11 atoms:
Pr1 0.830 0.243 0.243
Pr2 0.233 0.350 0.823
Pr3 0.767 0.650 0.177
Pr4 0.170 0.757 0.757
Pr5 0.734 0.591 0.591
Pr6 0.233 0.823 0.350
Pr7 0.767 0.177 0.650
Pr8 0.266 0.409 0.409
La1 0.581 0.804 0.804
La2 0.419 0.196 0.196
Y1 0.000 0.000 0.000

For the density of states at the Fermi level, the calculation gives 1.7150 states/eV/atom. The space group is C2/m, No. 12. As for the crystal system: monoclinic. For the total magnetization, the calculation gives 0.000 μB/atom.

=====

Of the structures shown above, ii is the least stable.